# Tb2Ge3Ir2, optimized geometry, DFT PBE-GGA
data_Tb2Ge3Ir2
_space_group_name_H-M_alt 'C m c m'
_space_group_IT_number 63
_space_group_name_Hall '-C 2c 2'
_cell_length_a 4.150
_cell_length_b 18.010
_cell_length_c 7.160
_cell_angle_alpha 90.00
_cell_angle_beta 90.00
_cell_angle_gamma 90.00
loop_
_atom_site_label
_atom_site_type_symbol
_atom_site_fract_x
_atom_site_fract_y
_atom_site_fract_z
Tb1 Tb 0.000 0.059 0.250
Tb2 Tb 0.000 0.157 0.750
Ge1 Ge 0.000 0.225 0.250
Ge2 Ge 0.000 0.437 0.067
Ir1 Ir 0.000 0.307 0.550
# E above lowest polymorph   0.00 eV per formula unit
# Total energy   -184.5 eV for the cell shown
# Energy relative to the elements   -756 meV per atom